Entry 1:
A plane-wave DFT calculation with GGA-PBE was carried out for a relaxed Cs2HfTeI6 crystal.

The structure in CIF format:
```
data_Cs2HfTeI6
_chemical_formula_sum 'Cs2 Hf1 Te1 I6'
_cell_length_a 9.511
_cell_length_b 9.511
_cell_length_c 8.902
_cell_angle_alpha 57.71
_cell_angle_beta 57.71
_cell_angle_gamma 90.00
_space_group_name_H-M_alt 'P 1'
_space_group_IT_number 1
loop_
_space_group_symop_operation_xyz
'x,y,z'
loop_
_atom_site_label
_atom_site_type_symbol
_atom_site_fract_x
_atom_site_fract_y
_atom_site_fract_z
Cs1 Cs 0.250 0.750 0.500
Cs2 Cs 0.750 0.250 0.500
Hf1 Hf 0.000 0.000 0.000
I1 I 0.213 0.787 0.000
I2 I 0.787 0.213 0.000
I3 I 0.213 0.213 0.000
I4 I 0.754 0.754 0.492
I5 I 0.787 0.787 0.000
I6 I 0.246 0.246 0.508
Te1 Te 0.500 0.500 0.000
```

Computed properties:
ΔE_f (raw) in meV per atom: -869
Total magnetic moment in μB/f.u.: 0.0
ρ in g/cm³: 4.20

---

Entry 2:
A plane-wave DFT calculation with GGA-PBE was carried out for a relaxed CsHfTlI6 crystal.

The structure in CIF format:
```
data_CsHfTlI6
_chemical_formula_sum 'Cs2 Hf2 Tl2 I12'
_cell_length_a 8.511
_cell_length_b 8.511
_cell_length_c 15.639
_cell_angle_alpha 90.00
_cell_angle_beta 90.00
_cell_angle_gamma 120.00
_space_group_name_H-M_alt 'P 1'
_space_group_IT_number 1
loop_
_space_group_symop_operation_xyz
'x,y,z'
loop_
_atom_site_label
_atom_site_type_symbol
_atom_site_fract_x
_atom_site_fract_y
_atom_site_fract_z
I1 I 0.401 0.054 0.143
I2 I 0.054 0.401 0.643
I3 I 0.946 0.599 0.357
I4 I 0.054 0.654 0.857
I5 I 0.946 0.346 0.143
I6 I 0.599 0.946 0.857
I7 I 0.654 0.599 0.143
I8 I 0.654 0.054 0.357
I9 I 0.346 0.401 0.857
I10 I 0.346 0.946 0.643
I11 I 0.599 0.654 0.643
I12 I 0.401 0.346 0.357
Hf1 Hf 0.333 0.667 0.750
Hf2 Hf 0.667 0.333 0.250
Tl1 Tl 0.667 0.333 0.750
Tl2 Tl 0.333 0.667 0.250
Cs1 Cs 0.000 0.000 0.500
Cs2 Cs 0.000 0.000 0.000
```

Computed properties:
ΔE_f (raw) in meV per atom: -1003
Total magnetic moment in μB/f.u.: 0.0
ρ in g/cm³: 4.32

---

Entry 3:
A plane-wave DFT calculation with GGA-PBE was carried out for a relaxed Cs2HfTlI crystal.

The structure in CIF format:
```
data_Cs2HfTlI
_chemical_formula_sum 'Cs2 Hf1 Tl1 I1'
_cell_length_a 7.606
_cell_length_b 5.551
_cell_length_c 7.606
_cell_angle_alpha 90.00
_cell_angle_beta 90.00
_cell_angle_gamma 90.00
_space_group_name_H-M_alt 'P 1'
_space_group_IT_number 1
loop_
_space_group_symop_operation_xyz
'x,y,z'
loop_
_atom_site_label
_atom_site_type_symbol
_atom_site_fract_x
_atom_site_fract_y
_atom_site_fract_z
Cs1 Cs 0.500 0.000 0.000
Cs2 Cs 0.000 0.000 0.500
Hf1 Hf 0.000 0.000 0.000
Tl1 Tl 0.500 0.500 0.500
I1 I 0.000 0.500 0.000
```

Computed properties:
ΔE_f (raw) in meV per atom: 595
Total magnetic moment in μB/f.u.: 3.2
ρ in g/cm³: 4.01

---

Entry 4:
A plane-wave DFT calculation with GGA-PBE was carried out for a relaxed CsHfTl2I8 crystal.

The structure in CIF format:
```
data_CsHfTl2I8
_chemical_formula_sum 'Cs1 Hf1 Tl2 I8'
_cell_length_a 8.030
_cell_length_b 6.908
_cell_length_c 11.019
_cell_angle_alpha 89.77
_cell_angle_beta 90.06
_cell_angle_gamma 90.83
_space_group_name_H-M_alt 'P 1'
_space_group_IT_number 1
loop_
_space_group_symop_operation_xyz
'x,y,z'
loop_
_atom_site_label
_atom_site_type_symbol
_atom_site_fract_x
_atom_site_fract_y
_atom_site_fract_z
I1 I 0.307 0.215 0.002
I2 I 0.128 0.757 0.187
I3 I 0.131 0.760 0.814
I4 I 0.869 0.240 0.186
I5 I 0.693 0.785 0.998
I6 I 0.492 0.244 0.500
I7 I 0.508 0.756 0.500
I8 I 0.872 0.243 0.813
Tl1 Tl 0.500 0.502 0.219
Tl2 Tl 0.500 0.498 0.781
Cs1 Cs 0.000 0.000 0.500
Hf1 Hf 0.000 0.000 0.000
```

Computed properties:
ΔE_f (raw) in meV per atom: -818
Total magnetic moment in μB/f.u.: 0.0
ρ in g/cm³: 4.72

---

Entry 5:
A plane-wave DFT calculation with GGA-PBE was carried out for a relaxed Cs2HfZnI6 crystal.

The structure in CIF format:
```
data_Cs2HfZnI6
_chemical_formula_sum 'Cs2 Hf1 Zn1 I6'
_cell_length_a 8.872
_cell_length_b 8.872
_cell_length_c 8.875
_cell_angle_alpha 60.01
_cell_angle_beta 60.01
_cell_angle_gamma 90.00
_space_group_name_H-M_alt 'P 1'
_space_group_IT_number 1
loop_
_space_group_symop_operation_xyz
'x,y,z'
loop_
_atom_site_label
_atom_site_type_symbol
_atom_site_fract_x
_atom_site_fract_y
_atom_site_fract_z
Cs1 Cs 0.750 0.250 0.500
Cs2 Cs 0.250 0.750 0.500
I1 I 0.771 0.229 0.000
I2 I 0.229 0.771 0.000
I3 I 0.771 0.771 0.457
I4 I 0.771 0.771 0.000
I5 I 0.229 0.229 0.000
I6 I 0.229 0.229 0.543
Zn1 Zn 0.500 0.500 0.000
Hf1 Hf 0.000 0.000 0.000
```

Computed properties:
ΔE_f (raw) in meV per atom: -987
Total magnetic moment in μB/f.u.: 0.0
ρ in g/cm³: 4.27

---

Entry 6:
A plane-wave DFT calculation with GGA-PBE was carried out for a relaxed CsHfIn crystal.

The structure in CIF format:
```
data_CsHfIn
_chemical_formula_sum 'Cs4 Hf4 In4'
_cell_length_a 14.373
_cell_length_b 5.861
_cell_length_c 5.407
_cell_angle_alpha 90.00
_cell_angle_beta 90.00
_cell_angle_gamma 90.00
_space_group_name_H-M_alt 'P 1'
_space_group_IT_number 1
loop_
_space_group_symop_operation_xyz
'x,y,z'
loop_
_atom_site_label
_atom_site_type_symbol
_atom_site_fract_x
_atom_site_fract_y
_atom_site_fract_z
Cs1 Cs 0.250 0.750 0.750
Cs2 Cs 0.750 0.250 0.250
Cs3 Cs 0.250 0.250 0.250
Cs4 Cs 0.750 0.750 0.750
Hf1 Hf 0.500 0.250 0.999
Hf2 Hf 0.500 0.750 0.001
Hf3 Hf 0.000 0.750 0.499
Hf4 Hf 0.000 0.250 0.501
In1 In 0.000 0.000 0.000
In2 In 0.000 0.500 0.000
In3 In 0.500 0.500 0.500
In4 In 0.500 0.000 0.500
```

Computed properties:
Energy above the most stable polymorph in this dataset in eV per atom: 0.000
DFT formation energy in meV per atom: 424
Total magnetic moment in μB/f.u.: 0.4
ρ in g/cm³: 6.21

---

Entry 7:
A plane-wave DFT calculation with GGA-PBE was carried out for a relaxed CsHfIn crystal.

The structure in CIF format:
```
data_CsHfIn
_chemical_formula_sum 'Cs4 Hf4 In4'
_cell_length_a 12.337
_cell_length_b 3.347
_cell_length_c 10.567
_cell_angle_alpha 90.00
_cell_angle_beta 90.00
_cell_angle_gamma 90.00
_space_group_name_H-M_alt 'P 1'
_space_group_IT_number 1
loop_
_space_group_symop_operation_xyz
'x,y,z'
loop_
_atom_site_label
_atom_site_type_symbol
_atom_site_fract_x
_atom_site_fract_y
_atom_site_fract_z
In1 In 0.392 0.250 0.714
In2 In 0.608 0.750 0.286
In3 In 0.892 0.250 0.786
In4 In 0.108 0.750 0.214
Hf1 Hf 0.067 0.750 0.921
Hf2 Hf 0.433 0.250 0.421
Hf3 Hf 0.933 0.250 0.079
Hf4 Hf 0.567 0.750 0.579
Cs1 Cs 0.645 0.750 0.929
Cs2 Cs 0.355 0.250 0.071
Cs3 Cs 0.855 0.250 0.429
Cs4 Cs 0.145 0.750 0.571
```

Computed properties:
Energy above the most stable polymorph in this dataset in eV per atom: 0.055
DFT formation energy in meV per atom: 479
Total magnetic moment in μB/f.u.: 0.0
ρ in g/cm³: 6.49

---

Entry 8:
A plane-wave DFT calculation with GGA-PBE was carried out for a relaxed CsHf2In crystal.

The structure in CIF format:
```
data_CsHf2In
_chemical_formula_sum 'Cs2 Hf4 In2'
_cell_length_a 5.018
_cell_length_b 5.018
_cell_length_c 11.400
_cell_angle_alpha 77.29
_cell_angle_beta 77.29
_cell_angle_gamma 90.00
_space_group_name_H-M_alt 'P 1'
_space_group_IT_number 1
loop_
_space_group_symop_operation_xyz
'x,y,z'
loop_
_atom_site_label
_atom_site_type_symbol
_atom_site_fract_x
_atom_site_fract_y
_atom_site_fract_z
Hf1 Hf 0.875 0.754 0.750
Hf2 Hf 0.375 0.496 0.750
Hf3 Hf 0.504 0.125 0.250
Hf4 Hf 0.246 0.625 0.250
In1 In 0.250 0.750 0.500
In2 In 0.500 0.500 0.000
Cs1 Cs 0.750 0.250 0.500
Cs2 Cs 0.000 0.000 0.000
```

Computed properties:
DFT formation energy in meV per atom: 1137
Total magnetic moment in μB/f.u.: 0.0
ρ in g/cm³: 7.36

---

Entry 9:
A plane-wave DFT calculation with GGA-PBE was carried out for a relaxed CsHfIn crystal.

The structure in CIF format:
```
data_CsHfIn
_chemical_formula_sum 'Cs4 Hf4 In4'
_cell_length_a 9.975
_cell_length_b 5.016
_cell_length_c 8.607
_cell_angle_alpha 90.00
_cell_angle_beta 90.00
_cell_angle_gamma 90.00
_space_group_name_H-M_alt 'P 1'
_space_group_IT_number 1
loop_
_space_group_symop_operation_xyz
'x,y,z'
loop_
_atom_site_label
_atom_site_type_symbol
_atom_site_fract_x
_atom_site_fract_y
_atom_site_fract_z
Hf1 Hf 0.911 0.750 0.537
Hf2 Hf 0.411 0.750 0.963
Hf3 Hf 0.089 0.250 0.463
Hf4 Hf 0.589 0.250 0.037
In1 In 0.173 0.750 0.674
In2 In 0.327 0.250 0.174
In3 In 0.827 0.250 0.326
In4 In 0.673 0.750 0.826
Cs1 Cs 0.063 0.750 0.129
Cs2 Cs 0.437 0.250 0.629
Cs3 Cs 0.563 0.750 0.371
Cs4 Cs 0.937 0.250 0.871
```

Computed properties:
Energy above the most stable polymorph in this dataset in eV per atom: 0.141
DFT formation energy in meV per atom: 565
Total magnetic moment in μB/f.u.: 0.0
ρ in g/cm³: 6.57

---

Entry 10:
A plane-wave DFT calculation with GGA-PBE was carried out for a relaxed CsHfIn2 crystal.

The structure in CIF format:
```
data_CsHfIn2
_chemical_formula_sum 'Cs2 Hf2 In4'
_cell_length_a 6.240
_cell_length_b 6.240
_cell_length_c 10.667
_cell_angle_alpha 72.99
_cell_angle_beta 72.99
_cell_angle_gamma 90.00
_space_group_name_H-M_alt 'P 1'
_space_group_IT_number 1
loop_
_space_group_symop_operation_xyz
'x,y,z'
loop_
_atom_site_label
_atom_site_type_symbol
_atom_site_fract_x
_atom_site_fract_y
_atom_site_fract_z
In1 In 0.837 0.125 0.250
In2 In 0.913 0.625 0.250
In3 In 0.875 0.087 0.750
In4 In 0.375 0.163 0.750
Hf1 Hf 0.000 0.000 0.000
Hf2 Hf 0.750 0.250 0.500
Cs1 Cs 0.500 0.500 0.000
Cs2 Cs 0.250 0.750 0.500
```

Computed properties:
DFT formation energy in meV per atom: 641
Total magnetic moment in μB/f.u.: 0.0
ρ in g/cm³: 4.75

---

Entry 11:
A plane-wave DFT calculation with GGA-PBE was carried out for a relaxed CsHf2InNi crystal.

The structure in CIF format:
```
data_CsHf2InNi
_chemical_formula_sum 'Cs1 Hf2 In1 Ni1'
_cell_length_a 5.069
_cell_length_b 5.122
_cell_length_c 5.069
_cell_angle_alpha 90.00
_cell_angle_beta 90.00
_cell_angle_gamma 90.00
_space_group_name_H-M_alt 'P 1'
_space_group_IT_number 1
loop_
_space_group_symop_operation_xyz
'x,y,z'
loop_
_atom_site_label
_atom_site_type_symbol
_atom_site_fract_x
_atom_site_fract_y
_atom_site_fract_z
Hf1 Hf 0.000 0.000 0.500
Hf2 Hf 0.500 0.000 0.000
Ni1 Ni 0.000 0.000 0.000
In1 In 0.000 0.500 0.000
Cs1 Cs 0.500 0.500 0.500
```

Computed properties:
DFT formation energy in meV per atom: 664
Total magnetic moment in μB/f.u.: 0.0
ρ in g/cm³: 8.37

---

Entry 12:
A plane-wave DFT calculation with GGA-PBE was carried out for a relaxed CsHfIn2Pb crystal.

The structure in CIF format:
```
data_CsHfIn2Pb
_chemical_formula_sum 'Cs1 Hf1 In2 Pb1'
_cell_length_a 6.047
_cell_length_b 5.551
_cell_length_c 6.047
_cell_angle_alpha 90.00
_cell_angle_beta 90.00
_cell_angle_gamma 90.00
_space_group_name_H-M_alt 'P 1'
_space_group_IT_number 1
loop_
_space_group_symop_operation_xyz
'x,y,z'
loop_
_atom_site_label
_atom_site_type_symbol
_atom_site_fract_x
_atom_site_fract_y
_atom_site_fract_z
In1 In 0.500 0.000 0.000
In2 In 0.000 0.000 0.500
Cs1 Cs 0.000 0.000 0.000
Hf1 Hf 0.000 0.500 0.000
Pb1 Pb 0.500 0.500 0.500
```

Computed properties:
DFT formation energy in meV per atom: 1646
Total magnetic moment in μB/f.u.: 0.0
ρ in g/cm³: 6.12

---

Please write out number 6 again, unchanged.
A plane-wave DFT calculation with GGA-PBE was carried out for a relaxed CsHfIn crystal.

The structure in CIF format:
```
data_CsHfIn
_chemical_formula_sum 'Cs4 Hf4 In4'
_cell_length_a 14.373
_cell_length_b 5.861
_cell_length_c 5.407
_cell_angle_alpha 90.00
_cell_angle_beta 90.00
_cell_angle_gamma 90.00
_space_group_name_H-M_alt 'P 1'
_space_group_IT_number 1
loop_
_space_group_symop_operation_xyz
'x,y,z'
loop_
_atom_site_label
_atom_site_type_symbol
_atom_site_fract_x
_atom_site_fract_y
_atom_site_fract_z
Cs1 Cs 0.250 0.750 0.750
Cs2 Cs 0.750 0.250 0.250
Cs3 Cs 0.250 0.250 0.250
Cs4 Cs 0.750 0.750 0.750
Hf1 Hf 0.500 0.250 0.999
Hf2 Hf 0.500 0.750 0.001
Hf3 Hf 0.000 0.750 0.499
Hf4 Hf 0.000 0.250 0.501
In1 In 0.000 0.000 0.000
In2 In 0.000 0.500 0.000
In3 In 0.500 0.500 0.500
In4 In 0.500 0.000 0.500
```

Computed properties:
Energy above the most stable polymorph in this dataset in eV per atom: 0.000
DFT formation energy in meV per atom: 424
Total magnetic moment in μB/f.u.: 0.4
ρ in g/cm³: 6.21